[1]
DFT (PBE) results for a geometry-optimized RbPm2MnI8 structure.

a b c (Å): 7.3670 7.7159 9.3915
angles (deg): 89.97 89.97 86.05
Fractional coordinates of all 12 atoms:
Rb: 0.0000 0.0000 0.0000
Pm: 0.5000 0.5001 0.2744
Pm: 0.5000 0.4999 0.7256
Mn: 0.0000 0.0000 0.5000
I: 0.2401 0.8373 0.2924
I: 0.2396 0.8368 0.7075
I: 0.2518 0.3278 0.5001
I: 0.2890 0.3636 0.0002
I: 0.7110 0.6364 0.9998
I: 0.7482 0.6722 0.4999
I: 0.7604 0.1632 0.2925
I: 0.7599 0.1627 0.7076

Calculated values
**Final energy**: -45.00 eV per cell
**Space-group type**: No. 2

---

[2]
DFT (PBE) results for a geometry-optimized PrMn2I8 structure.

a b c (Å): 8.8612 8.8612 7.2707
angles (deg): 97.17 97.17 91.30
Fractional coordinates of all 11 atoms:
Pr: 0.0000 0.0000 0.0000
Mn: 0.2156 0.2156 0.6667
Mn: 0.7844 0.7844 0.3333
I: 0.0586 0.7192 0.2227
I: 0.2222 0.2222 0.3016
I: 0.2808 0.9414 0.7773
I: 0.4266 0.4266 0.7879
I: 0.5734 0.5734 0.2121
I: 0.7192 0.0586 0.2227
I: 0.7778 0.7778 0.6984
I: 0.9414 0.2808 0.7773

Calculated values
**Final energy**: -43.36 eV per cell
**Space-group type**: No. 12

---

Number 1: ΔE_f (raw) -1080 meV per atom. Number 2: ΔE_f (raw) -713 meV per atom.